# CrSiAu, optimized geometry, DFT PBE
# Energy relative to the elements, uncorrected ... 0.0814 eV/atom
data_CrSiAu
_chemical_formula_sum 'Cr2 Si2 Au2'
_cell_length_a 11.160
_cell_length_b 2.827
_cell_length_c 2.931
_cell_angle_alpha 90.00
_cell_angle_beta 91.76
_cell_angle_gamma 90.00
_space_group_name_H-M_alt 'C 1 m 1'
_space_group_IT_number 8
_space_group_name_Hall 'C -2y'
loop_
_atom_site_label
_atom_site_type_symbol
_atom_site_fract_x
_atom_site_fract_y
_atom_site_fract_z
Cr1 Cr 0.000 0.000 0.000
Si1 Si 0.127 0.500 0.512
Au1 Au 0.321 0.000 0.493

***

# CrSiAu4, optimized geometry, DFT PBE
# Energy relative to the elements, uncorrected ... 0.4102 eV/atom
data_CrSiAu4
_chemical_formula_sum 'Cr4 Si4 Au16'
_cell_length_a 7.748
_cell_length_b 7.748
_cell_length_c 7.748
_cell_angle_alpha 90.00
_cell_angle_beta 90.00
_cell_angle_gamma 90.00
_space_group_name_H-M_alt 'F -4 3 m'
_space_group_IT_number 216
_space_group_name_Hall 'F -4 2 3'
loop_
_atom_site_label
_atom_site_type_symbol
_atom_site_fract_x
_atom_site_fract_y
_atom_site_fract_z
Cr1 Cr 0.000 0.000 0.000
Si1 Si 0.250 0.250 0.750
Au1 Au 0.125 0.125 0.375

***

# CrSi2Au, optimized geometry, DFT PBE
# Energy relative to the elements, uncorrected ... 0.4020 eV/atom
# ΔE to the lowest computed polymorph ... 451 meV/atom
data_CrSi2Au
_chemical_formula_sum 'Cr4 Si8 Au4'
_cell_length_a 7.043
_cell_length_b 7.043
_cell_length_c 5.390
_cell_angle_alpha 90.00
_cell_angle_beta 90.00
_cell_angle_gamma 90.00
_space_group_name_H-M_alt 'I -4 2 d'
_space_group_IT_number 122
_space_group_name_Hall 'I -4 2bw'
loop_
_atom_site_label
_atom_site_type_symbol
_atom_site_fract_x
_atom_site_fract_y
_atom_site_fract_z
Cr1 Cr 0.000 0.000 0.000
Si1 Si 0.243 0.250 0.625
Au1 Au 0.000 0.000 0.500

***

Which value of energy relative to the elements, uncorrected does entry 1 give? 0.0814 eV/atom

***

What is the energy relative to the elements, uncorrected in the third record? 0.4020 eV/atom

***

Copy entry 2 word for word.
# CrSiAu4, optimized geometry, DFT PBE
# Energy relative to the elements, uncorrected ... 0.4102 eV/atom
data_CrSiAu4
_chemical_formula_sum 'Cr4 Si4 Au16'
_cell_length_a 7.748
_cell_length_b 7.748
_cell_length_c 7.748
_cell_angle_alpha 90.00
_cell_angle_beta 90.00
_cell_angle_gamma 90.00
_space_group_name_H-M_alt 'F -4 3 m'
_space_group_IT_number 216
_space_group_name_Hall 'F -4 2 3'
loop_
_atom_site_label
_atom_site_type_symbol
_atom_site_fract_x
_atom_site_fract_y
_atom_site_fract_z
Cr1 Cr 0.000 0.000 0.000
Si1 Si 0.250 0.250 0.750
Au1 Au 0.125 0.125 0.375

***

Which formula does entry 3 have? CrSi2Au